Compound: CsNaSn2
Source: Alexandria via LeMat-Bulk
Functional: GGA-PBEsol
Structure: optimized geometry

Calculated values
Total moment (μB/f.u.): 0.00
V (Å³ per atom): 33.0
Formation enthalpy at 0 K (eV/atom): 0.141

Structure (POSCAR):
```
CsNaSn2
1.0
0.000 4.039 4.039
4.039 0.000 4.039
4.039 4.039 0.000
Cs Na Sn
1 1 2
Direct
0.000 0.000 0.000
0.500 0.500 0.500
0.250 0.250 0.250
0.750 0.750 0.750
```